*A*
A geometry-optimized ThScCu4 structure, computed with GGA-PBE.

Lattice parameters (Å, degrees): 7.3860 7.3860 7.3860 90.00 90.00 90.00
Closest atoms and distances in Å follow each position.
Space group F-43m (No. 216)
Symmetry-distinct sites (fractional):
Th (0.0000, 0.0000, 0.0000) (multiplicity 4)  12 Cu 3.07, 4 Sc 3.20
Sc (0.2500, 0.2500, 0.2500) (multiplicity 4)  12 Cu 3.06, 4 Th 3.20
Cu (0.1235, 0.1235, 0.6235) (multiplicity 16)  6 Cu 2.58-2.64

Output
The total magnetization comes out at 0.0000 μB per atom. For the density of states at the Fermi level, the calculation gives 5.75 states/eV/f.u.


*B*
A geometry-optimized ThScCu4 structure, computed with GGA-PBE.

Lattice parameters (Å, degrees): 4.3052 4.3052 6.5510 90.00 90.00 120.00
Closest atoms and distances in Å follow each position.
Space group P6/mmm (No. 191)
Symmetry-distinct sites (fractional):
Th (0.0000, 0.0000, 0.0000) (multiplicity 1)  12 Cu 3.12, 2 Sc 3.28
Sc (0.0000, 0.0000, 0.5000) (multiplicity 1)  12 Cu 2.85
Cu (0.3333, 0.6667, 0.2885) (multiplicity 4)  4 Cu 2.49-2.77

Output
The total magnetization comes out at 0.0000 μB per atom. For the density of states at the Fermi level, the calculation gives 4.09 states/eV/f.u.


It is *A* that is the least stable of them.


*A*
A geometry-optimized ScTi2Cu structure, computed with GGA-PBE.

Lattice parameters (Å, degrees): 6.4656 6.4656 6.4656 90.00 90.00 90.00
Closest atoms and distances in Å follow each position.
Space group Fm-3m (No. 225)
Symmetry-distinct sites (fractional):
Sc (0.0000, 0.0000, 0.0000) (multiplicity 4)  8 Ti 2.80
Ti (0.2500, 0.2500, 0.2500) (multiplicity 8)  4 Sc 2.80, 4 Cu 2.80
Cu (0.0000, 0.0000, 0.5000) (multiplicity 4)  8 Ti 2.80

Output
The total magnetization comes out at 0.0000 μB per atom. For the density of states at the Fermi level, the calculation gives 6.36 states/eV/f.u.


*B*
A geometry-optimized ScTi2Cu structure, computed with GGA-PBE.

Lattice parameters (Å, degrees): 7.3445 7.3445 5.4285 90.00 90.00 90.00
Closest atoms and distances in Å follow each position.
Space group I-42d (No. 122)
Symmetry-distinct sites (fractional):
Sc (0.0000, 0.0000, 0.0000) (multiplicity 4)  2 Cu 2.71, 4 Ti 2.94
Ti (0.2015, 0.2500, 0.6250) (multiplicity 8)  2 Cu 2.45
Cu (0.0000, 0.0000, 0.5000) (multiplicity 4)  4 Ti 2.45, 2 Sc 2.71

Output
The total magnetization comes out at 0.0001 μB per atom. For the density of states at the Fermi level, the calculation gives 4.54 states/eV/f.u.


It is *B* that is the least stable of them.


*A*
A geometry-optimized ScTiCu2 structure, computed with GGA-PBE.

Lattice parameters (Å, degrees): 4.4855 4.4855 3.1693 90.00 90.00 90.00
Closest atoms and distances in Å follow each position.
Space group P4/mmm (No. 123)
Symmetry-distinct sites (fractional):
Sc (0.0000, 0.0000, 0.0000) (multiplicity 1)  8 Cu 2.75
Ti (0.5000, 0.5000, 0.0000) (multiplicity 1)  8 Cu 2.75
Cu (0.0000, 0.5000, 0.5000) (multiplicity 2)  4 Sc 2.75, 4 Ti 2.75

Output
The total magnetization comes out at 0.2840 μB per atom. For the density of states at the Fermi level, the calculation gives 4.54 states/eV/f.u.


*B*
A geometry-optimized ScTiCu2 structure, computed with GGA-PBE.

Lattice parameters (Å, degrees): 7.1437 7.1437 5.2126 90.00 90.00 90.00
Closest atoms and distances in Å follow each position.
Space group I-42d (No. 122)
Symmetry-distinct sites (fractional):
Sc (0.0000, 0.0000, 0.0000) (multiplicity 4)  2 Ti 2.61, 4 Cu 2.69
Ti (0.0000, 0.0000, 0.5000) (multiplicity 4)  4 Cu 2.53, 2 Sc 2.61
Cu (0.2330, 0.2500, 0.6250) (multiplicity 8)  2 Ti 2.53, 2 Cu 2.62, 2 Sc 2.69

Output
The total magnetization comes out at 0.0000 μB per atom. For the density of states at the Fermi level, the calculation gives 4.28 states/eV/f.u.


*C*
A geometry-optimized ScTiCu2 structure, computed with GGA-PBE.

Lattice parameters (Å, degrees): 3.1642 3.1642 6.3705 90.00 90.00 90.00
Closest atoms and distances in Å follow each position.
Space group P4/mmm (No. 123)
Symmetry-distinct sites (fractional):
Sc (0.0000, 0.0000, 0.0000) (multiplicity 1)  8 Cu 2.84, 4 Sc 3.16
Ti (0.0000, 0.0000, 0.5000) (multiplicity 1)  8 Cu 2.66
Cu (0.5000, 0.5000, 0.2752) (multiplicity 2)  4 Ti 2.66, 4 Sc 2.84, 1 Cu 2.86

Output
The total magnetization comes out at 0.2433 μB per atom. For the density of states at the Fermi level, the calculation gives 4.06 states/eV/f.u.


It is *B* that is the least stable of them.


*A*
A geometry-optimized Sc2TiCu2 structure, computed with GGA-PBE.

Lattice parameters (Å, degrees): 7.3767 7.3767 3.2689 90.00 90.00 90.00
Closest atoms and distances in Å follow each position.
Space group P4/mbm (No. 127)
Symmetry-distinct sites (fractional):
Sc (0.1704, 0.3296, 0.0000) (multiplicity 4)  6 Cu 2.68-2.75
Ti (0.0000, 0.0000, 0.5000) (multiplicity 2)  4 Cu 2.91, 8 Sc 3.19
Cu (0.1260, 0.6260, 0.5000) (multiplicity 4)  1 Cu 2.63, 6 Sc 2.68-2.75, 2 Ti 2.91

Output
The total magnetization comes out at 0.0007 μB per atom. For the density of states at the Fermi level, the calculation gives 6.57 states/eV/f.u.


*B*
A geometry-optimized Sc2TiCu2 structure, computed with GGA-PBE.

Lattice parameters (Å, degrees): 7.6209 7.6209 3.0343 90.00 90.00 90.00
Closest atoms and distances in Å follow each position.
Space group P4/mbm (No. 127)
Symmetry-distinct sites (fractional):
Sc (0.1525, 0.3475, 0.0000) (multiplicity 4)  6 Cu 2.67-2.72, 2 Ti 2.89
Ti (0.0000, 0.0000, 0.0000) (multiplicity 2)  4 Sc 2.89, 2 Ti 3.03
Cu (0.1435, 0.6435, 0.5000) (multiplicity 4)  6 Sc 2.67-2.72

Output
The total magnetization comes out at 0.3337 μB per atom. For the density of states at the Fermi level, the calculation gives 3.65 states/eV/f.u.


It is *B* that is the least stable of them.


*A*
A geometry-optimized ScTl3Cu structure, computed with GGA-PBE.

Lattice parameters (Å, degrees): 5.1350 5.1350 5.1350 90.00 90.00 90.00
Closest atoms and distances in Å follow each position.
Space group Pm-3m (No. 221)
Symmetry-distinct sites (fractional):
Sc (0.0000, 0.0000, 0.0000) (multiplicity 1)  12 Tl 3.63
Tl (0.0000, 0.5000, 0.5000) (multiplicity 3)  2 Cu 2.57
Cu (0.5000, 0.5000, 0.5000) (multiplicity 1)  6 Tl 2.57

Output
The total magnetization comes out at 0.0000 μB per atom. For the density of states at the Fermi level, the calculation gives 3.99 states/eV/f.u.


*B*
A geometry-optimized ScTl3Cu structure, computed with GGA-PBE.

Lattice parameters (Å, degrees): 5.6617 5.6617 5.6617 90.00 90.00 90.00
Closest atoms and distances in Å follow each position.
Space group Pm-3m (No. 221)
Symmetry-distinct sites (fractional):
Sc (0.0000, 0.0000, 0.0000) (multiplicity 1)  6 Tl 2.83
Tl (0.0000, 0.0000, 0.5000) (multiplicity 3)  2 Sc 2.83
Cu (0.5000, 0.5000, 0.5000) (multiplicity 1)  12 Tl 4.00

Output
The total magnetization comes out at 0.1675 μB per atom. For the density of states at the Fermi level, the calculation gives 5.79 states/eV/f.u.


It is *B* that is the least stable of them.